No. 1
Computed, not measured: a relaxed structure of MgFe4Co at the PBE level of DFT.

Unit cell a=6.693 b=6.693 c=6.693 alpha=90.00 beta=90.00 gamma=90.00
Space group F-43m (No. 216)
One atom of each set of equivalent atoms:
1 Mg 0.000 0.000 0.000 x4
2 Fe 0.125 0.125 0.375 x16
3 Co 0.250 0.250 0.750 x4

***

No. 2
Computed, not measured: a relaxed structure of Mg6FeCo at the PBE level of DFT.

Unit cell a=4.665 b=5.915 c=10.716 alpha=90.00 beta=90.00 gamma=90.00
Space group Amm2 (No. 38)
One atom of each set of equivalent atoms:
1 Mg 0.000 0.000 0.000 x2
2 Mg 0.000 0.238 0.254 x4
3 Mg 0.500 0.000 0.837 x2
4 Mg 0.500 0.238 0.581 x4
5 Fe 0.000 0.000 0.477 x2
6 Co 0.500 0.000 0.362 x2

***

No. 3
Computed, not measured: a relaxed structure of Mg2FeCo at the PBE level of DFT.

Unit cell a=5.396 b=8.034 c=2.710 alpha=90.00 beta=90.36 gamma=90.00
Space group C2/m (No. 12)
One atom of each set of equivalent atoms:
1 Mg 0.250 0.250 0.000 x4
2 Fe 0.000 0.000 0.500 x2
3 Co 0.000 0.500 0.500 x2

***

We obtain Fermi-level density of states values of 19.05 8.75 7.56 states/eV/cell for the records listed above, in that order.
We obtain E values of -41.790 -23.606 -17.757 eV per formula unit for the records listed above, in that order.
We obtain energy of formation values of 0.13 0.19 0.25 eV per atom for the records listed above, in that order.